No. 1
VASP calculation (PBE) on BaMg2H6 after structural relaxation.

Results
SG: No. 123
DOS(E_F): 0.00 states/eV/cell
E above lowest polymorph: 0 meV per atom
Total moment: 0.0 Bohr magnetons per cell

extended XYZ file:
```
9
Lattice="3.880 0.000 0.000 0.000 3.880 0.000 0.000 0.000 8.270" Properties=species:S:1:pos:R:3 pbc="T T T"
H 1.940 0.000 2.266
H 1.940 0.000 6.003
H 1.940 1.940 0.000
H 0.000 1.940 6.003
H 0.000 1.940 2.266
H 1.940 1.940 4.135
Mg 1.940 1.940 6.473
Mg 1.940 1.940 1.797
Ba 0.000 0.000 4.135
```

---

No. 2
VASP calculation (PBE) on BaMgH2N after structural relaxation.

Results
Calculated total energy: -3.156 eV/atom
SG: No. 123
DOS(E_F): 2.71 states/eV/cell
Total moment: 0.0 Bohr magnetons per cell

extended XYZ file:
```
5
Lattice="-0.315 -1.240 -4.740 -2.200 -2.899 0.904 -3.963 2.857 -0.484" Properties=species:S:1:pos:R:3 pbc="T T T"
Mg -1.100 -1.449 0.452
N 0.000 0.000 0.000
H -1.982 1.429 -0.242
H -0.158 -0.620 -2.370
Ba -3.239 -0.640 -2.160
```

---

No. 3
VASP calculation (PBE) on Ba2MgNiH6 after structural relaxation.

Results
Calculated total energy: -3.462 eV/atom
SG: No. 139
DOS(E_F): 1.81 states/eV/cell
Total moment: 0.0 Bohr magnetons per cell

extended XYZ file:
```
10
Lattice="5.685 0.004 0.001 0.004 5.685 0.001 2.845 2.845 3.996" Properties=species:S:1:pos:R:3 pbc="T T T"
Mg 2.845 2.845 3.996
Ba 2.846 5.687 1.999
Ba 5.687 2.846 1.999
H 4.114 4.114 0.003
H 2.846 2.846 1.778
H 4.419 4.419 3.995
H 1.578 4.110 0.001
H 4.110 1.578 0.001
H 5.688 5.688 2.221
Ni 2.844 2.844 0.001
```

---

No. 4
VASP calculation (PBE) on BaMgNi2H6 after structural relaxation.

Results
Calculated total energy: -3.713 eV/atom
SG: No. 166
DOS(E_F): 1.88 states/eV/cell
Total moment: 0.0 Bohr magnetons per cell

extended XYZ file:
```
10
Lattice="-2.799 -3.242 -1.860 -2.216 -3.038 2.769 -6.166 1.554 0.709" Properties=species:S:1:pos:R:3 pbc="T T T"
Ba 0.000 0.000 0.000
H -7.571 -2.549 1.067
H -3.610 -2.177 0.550
H -5.066 -3.863 -0.416
H -6.116 -0.863 2.033
H -6.420 -0.970 -0.373
H -4.761 -3.756 1.990
Ni -7.740 -4.069 1.154
Ni -3.442 -0.657 0.463
Mg -5.591 -2.363 0.809
```

---

No. 5
VASP calculation (PBE) on BaMgNiH6 after structural relaxation.

Results
Calculated total energy: -3.525 eV/atom
SG: No. 187
DOS(E_F): 0.76 states/eV/cell
Total moment: 0.0 Bohr magnetons per cell

extended XYZ file:
```
9
Lattice="-0.939 2.743 3.796 -0.510 -1.986 4.315 5.025 0.549 0.847" Properties=species:S:1:pos:R:3 pbc="T T T"
H 0.935 1.373 2.245
H 1.120 -0.669 2.468
H 3.333 -0.428 2.842
H 2.927 0.758 4.481
H 3.148 1.614 2.617
H 0.715 0.515 4.108
Mg 1.546 0.780 5.830
Ni 2.030 0.527 3.127
Ba 4.086 3.292 4.643
```

---

No. 6
VASP calculation (PBE) on BaMgH2O after structural relaxation.

Results
Calculated total energy: -4.336 eV/atom
SG: No. 123
DOS(E_F): 0.00 states/eV/cell
Total moment: 0.0 Bohr magnetons per cell

extended XYZ file:
```
5
Lattice="-3.363 -1.947 1.091 2.231 -2.972 1.575 0.045 1.954 3.623" Properties=species:S:1:pos:R:3 pbc="T T T"
O 0.022 0.977 1.812
H -1.682 -0.973 0.546
H 1.116 -1.486 0.787
Mg 0.000 0.000 0.000
Ba -0.543 -1.482 3.145
```

---

No. 7
VASP calculation (PBE) on BaMgHO2 after structural relaxation.

Results
Calculated total energy: -4.996 eV/atom
SG: No. 123
DOS(E_F): 3.05 states/eV/cell
Total moment: 1.0 Bohr magnetons per cell

extended XYZ file:
```
5
Lattice="4.116 0.000 0.000 0.000 4.116 0.000 0.000 0.000 4.087" Properties=species:S:1:pos:R:3 pbc="T T T"
Mg 0.000 0.000 0.000
O 0.000 2.058 0.000
O 2.058 0.000 0.000
H 0.000 0.000 2.044
Ba 2.058 2.058 2.044
```

---

No. 8
VASP calculation (PBE) on Ba2MgH6Os after structural relaxation.

Results
Calculated total energy: -3.995 eV/atom
SG: No. 164
DOS(E_F): 4.11 states/eV/cell
Total moment: 0.0 Bohr magnetons per cell

extended XYZ file:
```
10
Lattice="-4.228 -2.334 -1.989 0.402 -4.237 4.118 -3.192 4.873 1.067" Properties=species:S:1:pos:R:3 pbc="T T T"
Os 0.000 0.000 0.000
Ba -2.783 1.401 1.712
Ba -4.235 -3.099 1.483
H -0.928 -3.419 3.302
H -1.161 -0.960 0.912
H -5.857 -0.738 2.284
H -6.090 1.721 -0.107
H -2.780 -0.591 3.921
H -4.238 -1.107 -0.726
Mg -2.114 -1.167 -0.995
```

---

No. 9
VASP calculation (PBE) on Ba2MgPH after structural relaxation.

Results
Calculated total energy: -2.662 eV/atom
SG: No. 123
DOS(E_F): 3.82 states/eV/cell
Total moment: 0.0 Bohr magnetons per cell

extended XYZ file:
```
5
Lattice="-5.949 -2.182 -0.149 0.185 -0.820 4.624 -2.173 5.847 1.124" Properties=species:S:1:pos:R:3 pbc="T T T"
Ba -1.087 2.924 0.562
Ba -2.975 -1.091 -0.075
Mg 0.000 0.000 0.000
P 0.092 -0.410 2.312
H -3.969 1.423 2.800
```

---

No. 10
VASP calculation (PBE) on BaMg2PH2 after structural relaxation.

Results
Calculated total energy: -3.276 eV/atom
SG: No. 11
DOS(E_F): 3.80 states/eV/cell
Total moment: 0.0 Bohr magnetons per cell

extended XYZ file:
```
12
Lattice="5.905 0.000 0.000 0.000 7.065 -0.992 0.000 -3.558 6.078" Properties=species:S:1:pos:R:3 pbc="T T T"
H 1.476 2.214 2.436
H 4.429 3.693 2.780
H 1.476 -0.185 2.306
H 4.429 1.294 2.650
Ba 4.429 -0.836 4.249
Ba 1.476 4.344 0.837
Mg 3.002 2.780 3.718
Mg 0.049 0.728 1.368
Mg 5.856 2.780 3.718
Mg 2.903 0.728 1.368
P 4.429 5.699 -0.214
P 1.476 -2.191 5.300
```

---

No. 11
VASP calculation (PBE) on BaMgP2H after structural relaxation.

Results
Calculated total energy: -3.399 eV/atom
SG: No. 123
DOS(E_F): 2.31 states/eV/cell
Total moment: 0.0 Bohr magnetons per cell

extended XYZ file:
```
5
Lattice="-0.329 -3.280 3.265 3.378 -2.290 -1.961 3.073 2.293 2.613" Properties=species:S:1:pos:R:3 pbc="T T T"
P 1.536 1.147 1.307
P -0.164 -1.640 1.633
Mg 3.061 -1.639 1.959
H 0.000 0.000 0.000
Ba 1.689 -1.145 -0.980
```

---

No. 12
VASP calculation (PBE) on BaMg2HPb after structural relaxation.

Results
Calculated total energy: -2.666 eV/atom
SG: No. 63
DOS(E_F): 5.26 states/eV/cell
Total moment: 0.0 Bohr magnetons per cell

extended XYZ file:
```
10
Lattice="4.720 0.000 0.000 -2.360 6.312 0.000 0.000 0.000 8.819" Properties=species:S:1:pos:R:3 pbc="T T T"
Mg 2.360 4.241 3.922
Mg 0.000 2.071 4.897
Mg 2.360 4.241 0.487
Mg 0.000 2.071 8.332
Ba 0.000 5.652 6.614
Ba 2.360 0.660 2.205
H 0.000 0.000 0.000
H 0.000 0.000 4.409
Pb 2.360 2.859 6.614
Pb 0.000 3.453 2.205
```